Below is crystalline LuThPd2 at its relaxed geometry, with properties calculated at the PBE level.

abc: 3.4252 3.4252 7.4711
angles: 90.00 90.00 90.00
Space group P4/mmm (No. 123)
Unique sites:
Lu 0.0000 0.0000 0.0000 (multiplicity 1)
Th 0.0000 0.0000 0.5000 (multiplicity 1)
Pd 0.5000 0.5000 0.2213 (multiplicity 2)

Computed properties:
**Spin magnetization**: 0.0 μB per formula unit
**Final energy**: -25.5 eV/cell
**Energy relative to the elements**: -0.80 eV/atom
**DOS at the Fermi energy**: 0.735 states/eV/atom

---

Below is crystalline CoPSe2 at its relaxed geometry, with properties calculated at the PBE level.

abc: 2.6971 2.6971 11.0111
angles: 90.00 90.00 90.00
Space group P4mm (No. 99)
Unique sites:
Co 0.0000 0.0000 0.0000 (multiplicity 1)
P 0.5000 0.5000 0.1237 (multiplicity 1)
Se 0.0000 0.0000 0.4853 (multiplicity 1)
Se 0.5000 0.5000 0.8276 (multiplicity 1)

Computed properties:
**Spin magnetization**: 0.4 μB per formula unit
**Final energy**: -19.0 eV/cell
**DOS at the Fermi energy**: 0.604 states/eV/atom

---

Below is crystalline Na3HgBi4 at its relaxed geometry, with properties calculated at the PBE level.

abc: 22.0707 4.2393 5.3885
angles: 90.00 101.57 90.00
Space group C2/m (No. 12)
Unique sites:
Na 0.0000 0.0000 0.0000 (multiplicity 2)
Na 0.1223 0.0000 0.6312 (multiplicity 4)
Hg 0.0000 0.5000 0.5000 (multiplicity 2)
Bi 0.1178 0.5000 0.1297 (multiplicity 4)
Bi 0.2236 0.0000 0.2216 (multiplicity 4)

Computed properties:
**Spin magnetization**: 0.0 μB per formula unit
**Final energy**: -42.1 eV/cell
**Energy relative to the elements**: -0.16 eV/atom
**DOS at the Fermi energy**: 0.407 states/eV/atom

---

Below is crystalline EuYCuSi at its relaxed geometry, with properties calculated at the PBE level.

abc: 7.1305 7.1305 7.1305
angles: 90.00 90.00 90.00
Space group F-43m (No. 216)
Unique sites:
Eu 0.0000 0.0000 0.0000 (multiplicity 4)
Y 0.0000 0.0000 0.5000 (multiplicity 4)
Cu 0.2500 0.2500 0.7500 (multiplicity 4)
Si 0.2500 0.2500 0.2500 (multiplicity 4)

Computed properties:
**Spin magnetization**: 7.3 μB per formula unit
**Final energy**: -110.8 eV/cell
**DOS at the Fermi energy**: 1.503 states/eV/atom

---

Below is crystalline Hf3TeI at its relaxed geometry, with properties calculated at the PBE level.

abc: 5.2968 5.2968 5.2968
angles: 90.00 90.00 90.00
Space group Pm-3m (No. 221)
Unique sites:
Hf 0.0000 0.0000 0.5000 (multiplicity 3)
Te 0.0000 0.0000 0.0000 (multiplicity 1)
I 0.5000 0.5000 0.5000 (multiplicity 1)

Computed properties:
**Spin magnetization**: 0.0 μB per formula unit
**Final energy**: -29.4 eV/cell
**DOS at the Fermi energy**: 0.594 states/eV/atom

---

Below is crystalline Pu2AuS6 at its relaxed geometry, with properties calculated at the PBE level.

abc: 6.3825 6.3825 11.1318
angles: 90.00 90.00 90.00
Space group P4_2/mnm (No. 136)
Unique sites:
Pu 0.0000 0.0000 0.1757 (multiplicity 4)
Au 0.0000 0.0000 0.5000 (multiplicity 2)
S 0.1800 0.1800 0.0000 (multiplicity 4)
S 0.1970 0.1970 0.3469 (multiplicity 8)

Computed properties:
**Spin magnetization**: 7.0 μB per formula unit
**Final energy**: -126.1 eV/cell
**DOS at the Fermi energy**: 1.937 states/eV/atom

---

Below is crystalline CdAgC2 at its relaxed geometry, with properties calculated at the PBE level.

abc: 5.0648 5.0648 10.1062
angles: 90.00 90.00 90.00
Space group I-42d (No. 122)
Unique sites:
Cd 0.0000 0.0000 0.0000 (multiplicity 4)
Ag 0.0000 0.0000 0.5000 (multiplicity 4)
C 0.2185 0.2500 0.6250 (multiplicity 8)

Computed properties:
**Spin magnetization**: 0.0 μB per formula unit
**Final energy**: -54.2 eV/cell
**Energy relative to the elements**: 2.17 eV/atom
**DOS at the Fermi energy**: 0.841 states/eV/atom

---

Below is crystalline TbNiC at its relaxed geometry, with properties calculated at the PBE level.

abc: 3.5286 3.5286 3.8100
angles: 90.00 90.00 120.00
Space group P-6m2 (No. 187)
Unique sites:
Tb 0.0000 0.0000 0.0000 (multiplicity 1)
Ni 0.6667 0.3333 0.5000 (multiplicity 1)
C 0.3333 0.6667 0.5000 (multiplicity 1)

Computed properties:
**Spin magnetization**: 0.0 μB per formula unit
**Final energy**: -20.1 eV/cell
**Energy relative to the elements**: -0.15 eV/atom
**DOS at the Fermi energy**: 0.537 states/eV/atom

---

Below is crystalline KCd2Ni at its relaxed geometry, with properties calculated at the PBE level.

abc: 4.5490 4.5490 4.6109
angles: 90.00 90.00 90.00
Space group P4/mmm (No. 123)
Unique sites:
K 0.0000 0.0000 0.0000 (multiplicity 1)
Cd 0.0000 0.5000 0.5000 (multiplicity 2)
Ni 0.5000 0.5000 0.0000 (multiplicity 1)

Computed properties:
**Spin magnetization**: 0.1 μB per formula unit
**Final energy**: -6.8 eV/cell
**Energy relative to the elements**: 0.48 eV/atom
**DOS at the Fermi energy**: 0.781 states/eV/atom

---

Below is crystalline La2MoPb at its relaxed geometry, with properties calculated at the PBE level.

abc: 8.5763 8.5763 6.1676
angles: 90.00 90.00 90.00
Space group I-42d (No. 122)
Unique sites:
La 0.1844 0.2500 0.1250 (multiplicity 8)
Mo 0.0000 0.0000 0.0000 (multiplicity 4)
Pb 0.0000 0.0000 0.5000 (multiplicity 4)

Computed properties:
**Spin magnetization**: 0.0 μB per formula unit
**Final energy**: -92.5 eV/cell
**Energy relative to the elements**: 0.32 eV/atom
**DOS at the Fermi energy**: 1.214 states/eV/atom

---

Below is crystalline MnV2RhN at its relaxed geometry, with properties calculated at the PBE level.

abc: 3.9333 3.9333 3.7311
angles: 90.00 90.00 90.00
Space group P4/mmm (No. 123)
Unique sites:
Mn 0.0000 0.0000 0.0000 (multiplicity 1)
V 0.0000 0.5000 0.5000 (multiplicity 2)
Rh 0.5000 0.5000 0.0000 (multiplicity 1)
N 0.0000 0.0000 0.5000 (multiplicity 1)

Computed properties:
**Spin magnetization**: 0.0 μB per formula unit
**Final energy**: -45.7 eV/cell
**DOS at the Fermi energy**: 0.987 states/eV/atom

---

final energy of number 3 (Na3HgBi4)? -42.1 eV/cell

---

Number 8 is which compound? TbNiC

---

Among the records above, which one has the lowest final energy? Pu2AuS6